A relaxed structure of NdSnSb. Source: OQMD, functional PBE-GGA.

For the distance to the lowest polymorph of the same formula, the calculation gives 0.00 eV/f.u. The total moment is 0.0 μB/cell. The calculation puts the total energy at -0.340 Ry per atom.

The structure belongs to space group F-43m (No. 216); the cell edges are 7.419, 7.419 and 7.419 Å and the angles 90.00°, 90.00° and 90.00°. The asymmetric unit holds Nd at (0.000, 0.000, 0.000), Sn at (0.000, 0.000, 0.500) and Sb at (0.250, 0.250, 0.250).